# 1
# LiAcAg3, optimized geometry, DFT PBE-GGA
# * E: -3.0611 eV per atom
# * polymorph energy (0 for the lowest one): 0.0357 eV per atom
# * crystal system: hexagonal
data_LiAcAg3
_chemical_formula_sum 'Li4 Ac4 Ag12'
_cell_length_a 6.8435
_cell_length_b 6.8435
_cell_length_c 11.4990
_cell_angle_alpha 90.00
_cell_angle_beta 90.00
_cell_angle_gamma 120.00
_symmetry_space_group_name_H-M 'P 63/m m c'
_symmetry_Int_Tables_number 194
_symmetry_space_group_name_Hall '-P 6c 2c'
loop_
_atom_site_label
_atom_site_type_symbol
_atom_site_fract_x
_atom_site_fract_y
_atom_site_fract_z
Li1 Li 0.3333 0.6667 0.1385
Ac1 Ac 0.0000 0.0000 0.0000
Ac2 Ac 0.3333 0.6667 0.7500
Ag1 Ag 0.0000 0.5000 0.0000
Ag2 Ag 0.1407 0.2815 0.2500

***

# 2
# Tm6AlIn, optimized geometry, DFT PBE-GGA
# * E: -4.3937 eV per atom
# * crystal system: tetragonal
data_Tm6AlIn
_chemical_formula_sum 'Tm6 Al1 In1'
_cell_length_a 4.735
_cell_length_b 4.735
_cell_length_c 9.466
_cell_angle_alpha 90.00
_cell_angle_beta 90.00
_cell_angle_gamma 90.00
_symmetry_space_group_name_H-M 'P 4/m m m'
_symmetry_Int_Tables_number 123
_symmetry_space_group_name_Hall '-P 4 2'
loop_
_atom_site_label
_atom_site_type_symbol
_atom_site_fract_x
_atom_site_fract_y
_atom_site_fract_z
Tm1 Tm 0.000 0.000 0.000
Tm2 Tm 0.000 0.000 0.500
Tm3 Tm 0.000 0.500 0.243
Al1 Al 0.500 0.500 0.000
In1 In 0.500 0.500 0.500

***

# 3
# Pm6Ho8Er, optimized geometry, DFT PBE-GGA
# * E: -4.5254 eV per atom
# * crystal system: trigonal
data_Pm6Ho8Er
_chemical_formula_sum 'Pm18 Ho24 Er3'
_cell_length_a 9.0732
_cell_length_b 9.0732
_cell_length_c 20.7524
_cell_angle_alpha 90.00
_cell_angle_beta 90.00
_cell_angle_gamma 120.00
_symmetry_space_group_name_H-M 'R -3'
_symmetry_Int_Tables_number 148
_symmetry_space_group_name_Hall '-R 3'
loop_
_atom_site_label
_atom_site_type_symbol
_atom_site_fract_x
_atom_site_fract_y
_atom_site_fract_z
Pm1 Pm 0.0626 0.8140 0.2099
Ho1 Ho 0.0000 0.0000 0.0769
Ho2 Ho 0.0812 0.5262 0.3072
Er1 Er 0.0000 0.0000 0.5000

***

# 4
# Sr2HI, optimized geometry, DFT PBE-GGA
# * E: -2.7092 eV per atom
# * polymorph energy (0 for the lowest one): 0.0000 eV per atom
# * crystal system: trigonal
data_Sr2HI
_chemical_formula_sum 'Sr6 H3 I3'
_cell_length_a 4.1890
_cell_length_b 4.1890
_cell_length_c 24.3807
_cell_angle_alpha 90.00
_cell_angle_beta 90.00
_cell_angle_gamma 120.00
_symmetry_space_group_name_H-M 'R -3 m'
_symmetry_Int_Tables_number 166
_symmetry_space_group_name_Hall '-R 3 2"'
loop_
_atom_site_label
_atom_site_type_symbol
_atom_site_fract_x
_atom_site_fract_y
_atom_site_fract_z
Sr1 Sr 0.0000 0.0000 0.2284
H1 H 0.0000 0.0000 0.5000
I1 I 0.0000 0.0000 0.0000

***

# 5
# LaH8Pt2Rh3, optimized geometry, DFT PBE-GGA
# * E: -4.9235 eV per atom
# * crystal system: trigonal
data_LaH8Pt2Rh3
_chemical_formula_sum 'La3 H24 Pt6 Rh9'
_cell_length_a 5.7395
_cell_length_b 5.7395
_cell_length_c 14.1157
_cell_angle_alpha 90.00
_cell_angle_beta 90.00
_cell_angle_gamma 120.00
_symmetry_space_group_name_H-M 'R 3 m'
_symmetry_Int_Tables_number 160
_symmetry_space_group_name_Hall 'R 3 -2"'
loop_
_atom_site_label
_atom_site_type_symbol
_atom_site_fract_x
_atom_site_fract_y
_atom_site_fract_z
La1 La 0.0000 0.0000 0.0000
H1 H 0.0000 0.0000 0.1603
H2 H 0.0000 0.0000 0.6150
H3 H 0.1864 0.3727 0.4912
H4 H 0.2171 0.4343 0.9452
Pt1 Pt 0.0000 0.0000 0.3793
Pt2 Pt 0.0000 0.0000 0.7462
Rh1 Rh 0.1691 0.3383 0.2059

***

# 6
# SrH2O, optimized geometry, DFT PBE-GGA
# * E: -3.8210 eV per atom
# * polymorph energy (0 for the lowest one): 0.8781 eV per atom
# * crystal system: tetragonal
data_SrH2O
_chemical_formula_sum 'Sr4 H8 O4'
_cell_length_a 3.443
_cell_length_b 3.443
_cell_length_c 18.648
_cell_angle_alpha 90.00
_cell_angle_beta 90.00
_cell_angle_gamma 90.00
_symmetry_space_group_name_H-M 'I 41/a m d'
_symmetry_Int_Tables_number 141
loop_
_symmetry_equiv_pos_as_xyz
'x,y,z'
'-x,-y,-z'
'-y+1/4,x+3/4,z+1/4'
'y+1/4,-x+3/4,-z+1/4'
'-x+1/2,-y,z+1/2'
'x+1/2,y,-z+1/2'
'y+1/4,-x+1/4,z+3/4'
'-y+1/4,x+1/4,-z+3/4'
'x,-y,-z'
'-x,y,z'
'-y+1/4,-x+1/4,-z+3/4'
'y+1/4,x+1/4,z+3/4'
'-x+1/2,y,-z+1/2'
'x+1/2,-y,z+1/2'
'y+1/4,x+3/4,-z+1/4'
'-y+1/4,-x+3/4,z+1/4'
'x+1/2,y+1/2,z+1/2'
'-x+1/2,-y+1/2,-z+1/2'
'-y+3/4,x+1/4,z+3/4'
'y+3/4,-x+1/4,-z+3/4'
'-x,-y+1/2,z'
'x,y+1/2,-z'
'y+3/4,-x+3/4,z+1/4'
'-y+3/4,x+3/4,-z+1/4'
'x+1/2,-y+1/2,-z+1/2'
'-x+1/2,y+1/2,z+1/2'
'-y+3/4,-x+3/4,-z+1/4'
'y+3/4,x+3/4,z+1/4'
'-x,y+1/2,-z'
'x,-y+1/2,z'
'y+3/4,x+1/4,-z+3/4'
'-y+3/4,-x+1/4,z+3/4'
loop_
_atom_site_label
_atom_site_type_symbol
_atom_site_fract_x
_atom_site_fract_y
_atom_site_fract_z
Sr1 Sr 0.000 0.250 0.375
H1 H 0.000 0.000 0.000
O1 O 0.000 0.250 0.875

***

# 7
# LaCoGe3, optimized geometry, DFT PBE-GGA
# * E: -5.7094 eV per atom
# * crystal system: orthorhombic
data_LaCoGe3
_chemical_formula_sum 'La2 Co2 Ge6'
_cell_length_a 6.108
_cell_length_b 5.691
_cell_length_c 5.654
_cell_angle_alpha 90.00
_cell_angle_beta 90.00
_cell_angle_gamma 90.00
_symmetry_space_group_name_H-M 'P m n 21'
_symmetry_Int_Tables_number 31
loop_
_symmetry_equiv_pos_as_xyz
'x,y,z'
'-x+1/2,-y,z+1/2'
'-x,y,z'
'x+1/2,-y,z+1/2'
loop_
_atom_site_label
_atom_site_type_symbol
_atom_site_fract_x
_atom_site_fract_y
_atom_site_fract_z
La1 La 0.000 0.134 0.000
Co1 Co 0.000 0.605 0.749
Ge1 Ge 0.000 0.884 0.461
Ge2 Ge 0.238 0.346 0.546

***

# 8
# La3BeCrS7, optimized geometry, DFT PBE-GGA
# * energy relative to the elements, uncorrected: -38.76 kcal/mol of atoms
# * E: -6.4329 eV per atom
# * crystal system: hexagonal
data_La3BeCrS7
_chemical_formula_sum 'La6 Be2 Cr2 S14'
_cell_length_a 10.1232
_cell_length_b 10.1232
_cell_length_c 6.0477
_cell_angle_alpha 90.00
_cell_angle_beta 90.00
_cell_angle_gamma 120.00
_symmetry_space_group_name_H-M 'P 63'
_symmetry_Int_Tables_number 173
loop_
_symmetry_equiv_pos_as_xyz
'x,y,z'
'x-y,x,z+1/2'
'-y,x-y,z'
'-x,-y,z+1/2'
'-x+y,-x,z'
'y,-x+y,z+1/2'
loop_
_atom_site_label
_atom_site_type_symbol
_atom_site_fract_x
_atom_site_fract_y
_atom_site_fract_z
La1 La 0.1433 0.7527 0.0000
Be1 Be 0.3333 0.6667 0.5871
Cr1 Cr 0.0000 0.0000 0.1926
S1 S 0.0802 0.8648 0.4390
S2 S 0.1109 0.5203 0.7146
S3 S 0.3333 0.6667 0.2378

***

# 9
# MnHg2Cl, optimized geometry, DFT PBE-GGA
# * energy relative to the elements, uncorrected: -2.34 kcal/mol of atoms
# * E: -3.0063 eV per atom
# * polymorph energy (0 for the lowest one): 0.0721 eV per atom
# * crystal system: orthorhombic
data_MnHg2Cl
_chemical_formula_sum 'Mn2 Hg4 Cl2'
_cell_length_a 3.518
_cell_length_b 5.826
_cell_length_c 9.930
_cell_angle_alpha 90.00
_cell_angle_beta 90.00
_cell_angle_gamma 90.00
_symmetry_space_group_name_H-M 'C m m 2'
_symmetry_Int_Tables_number 35
loop_
_symmetry_equiv_pos_as_xyz
'x,y,z'
'-x,-y,z'
'-x,y,z'
'x,-y,z'
'x+1/2,y+1/2,z'
'-x+1/2,-y+1/2,z'
'-x+1/2,y+1/2,z'
'x+1/2,-y+1/2,z'
loop_
_atom_site_label
_atom_site_type_symbol
_atom_site_fract_x
_atom_site_fract_y
_atom_site_fract_z
Mn1 Mn 0.000 0.000 0.000
Hg1 Hg 0.000 0.000 0.510
Hg2 Hg 0.000 0.500 0.782
Cl1 Cl 0.000 0.500 0.162

***

# 10
# CoIrRh, optimized geometry, DFT PBE-GGA
# * E: -7.7298 eV per atom
# * polymorph energy (0 for the lowest one): 0.0078 eV per atom
# * crystal system: tetragonal
data_CoIrRh
_chemical_formula_sum 'Co2 Ir2 Rh2'
_cell_length_a 2.688
_cell_length_b 2.688
_cell_length_c 11.000
_cell_angle_alpha 90.00
_cell_angle_beta 90.00
_cell_angle_gamma 90.00
_symmetry_space_group_name_H-M 'I 4 m m'
_symmetry_Int_Tables_number 107
_symmetry_space_group_name_Hall 'I 4 -2'
loop_
_atom_site_label
_atom_site_type_symbol
_atom_site_fract_x
_atom_site_fract_y
_atom_site_fract_z
Co1 Co 0.000 0.000 0.000
Ir1 Ir 0.000 0.000 0.658
Rh1 Rh 0.000 0.000 0.336

***

# 11
# SrBI2O, optimized geometry, DFT PBE-GGA
# * energy relative to the elements, uncorrected: -8.05 kcal/mol of atoms
# * E: -3.6326 eV per atom
# * polymorph energy (0 for the lowest one): 0.0000 eV per atom
# * crystal system: tetragonal
data_SrBI2O
_chemical_formula_sum 'Sr1 B1 I2 O1'
_cell_length_a 5.832
_cell_length_b 5.832
_cell_length_c 3.464
_cell_angle_alpha 90.00
_cell_angle_beta 90.00
_cell_angle_gamma 90.00
_symmetry_space_group_name_H-M 'P 4/m m m'
_symmetry_Int_Tables_number 123
_symmetry_space_group_name_Hall '-P 4 2'
loop_
_atom_site_label
_atom_site_type_symbol
_atom_site_fract_x
_atom_site_fract_y
_atom_site_fract_z
Sr1 Sr 0.000 0.000 0.000
B1 B 0.500 0.500 0.500
I1 I 0.000 0.500 0.500
O1 O 0.500 0.500 0.000

***

# 12
# RbInAg3, optimized geometry, DFT PBE-GGA
# * E: -2.2932 eV per atom
# * polymorph energy (0 for the lowest one): 0.1162 eV per atom
# * crystal system: cubic
data_RbInAg3
_chemical_formula_sum 'Rb1 In1 Ag3'
_cell_length_a 5.423
_cell_length_b 5.423
_cell_length_c 5.423
_cell_angle_alpha 90.00
_cell_angle_beta 90.00
_cell_angle_gamma 90.00
_symmetry_space_group_name_H-M 'P m -3 m'
_symmetry_Int_Tables_number 221
_symmetry_space_group_name_Hall '-P 4 2 3'
loop_
_atom_site_label
_atom_site_type_symbol
_atom_site_fract_x
_atom_site_fract_y
_atom_site_fract_z
Rb1 Rb 0.000 0.000 0.000
In1 In 0.500 0.500 0.500
Ag1 Ag 0.000 0.500 0.500